Entry 1:
SrAsPbAu | Alexandria | PBE | relaxed; D(E_F) = 0.60 states/eV/cell; ΔH_f (0 K) = -0.48 eV/atom
1.0
5.322 0.000 0.000
2.661 4.609 0.000
2.661 1.536 4.346
As Pb Sr Au
1 1 1 1
Direct
0.500 0.500 0.500
0.750 0.750 0.750
0.250 0.250 0.250
0.000 0.000 0.000



Entry 2:
Te3AsPbAu | Alexandria | PBE | relaxed; raw formation energy = -0.10 eV/atom
1.0
4.275 0.000 0.000
0.000 8.624 0.149
0.000 -2.122 9.590
As Pb Te Au
2 2 6 2
Direct
0.250 0.668 0.123
0.750 0.332 0.877
0.250 0.189 0.294
0.750 0.811 0.706
0.750 0.276 0.538
0.750 0.433 0.156
0.250 0.567 0.844
0.250 0.111 0.883
0.250 0.724 0.462
0.750 0.889 0.117
0.750 0.941 0.401
0.250 0.059 0.599



Entry 3:
VAs2PbAu | Alexandria | PBE | relaxed; D(E_F) = 5.74 states/eV/cell; ΔH_f (0 K) = 1.20 eV/atom
1.0
-0.564 -3.447 3.618
2.029 -3.798 -3.303
4.630 1.009 1.683
As Au V Pb
2 1 1 1
Direct
0.500 0.000 0.000
0.000 0.000 0.500
0.000 0.000 0.000
0.500 0.500 0.500
0.000 0.500 0.000



Entry 4:
V2AsPbAu | Alexandria | PBE | relaxed; D(E_F) = 7.54 states/eV/cell; ΔH_f (0 K) = 1.46 eV/atom
1.0
5.177 0.000 0.000
0.000 5.142 0.000
0.000 0.000 5.177
V Pb As Au
2 1 1 1
Direct
0.000 0.000 0.500
0.500 0.000 0.000
0.000 0.000 0.000
0.500 0.500 0.500
0.000 0.500 0.000



Entry 5:
Y2AsPbAu | Alexandria | PBE | relaxed; D(E_F) = 1.78 states/eV/cell; ΔH_f (0 K) = -0.44 eV/atom
1.0
5.433 0.000 0.000
0.000 4.871 0.000
0.000 0.000 5.433
Pb Y Au As
1 2 1 1
Direct
0.500 0.500 0.500
0.500 0.000 0.000
0.000 0.000 0.500
0.000 0.500 0.000
0.000 0.000 0.000



Entry 6:
ZnAsPbAu | Alexandria | PBE | relaxed; D(E_F) = 3.14 states/eV/cell; ΔH_f (0 K) = -0.04 eV/atom
1.0
4.023 0.000 0.000
0.000 4.023 0.000
0.000 0.000 11.106
As Pb Zn Au
2 2 2 2
Direct
0.250 0.250 0.149
0.750 0.750 0.851
0.250 0.250 0.714
0.750 0.750 0.286
0.750 0.250 0.000
0.250 0.750 0.000
0.750 0.250 0.500
0.250 0.750 0.500



Entry 7:
AsPd6Au5 | Alexandria | PBE | relaxed; D(E_F) = 2.82 states/eV/cell; ΔH_f (0 K) = -0.17 eV/atom
1.0
4.235 0.002 -1.184
-3.050 6.405 -2.773
-0.147 -0.393 7.605
Au As Pd
5 1 6
Direct
0.000 0.654 0.346
0.500 0.803 0.197
0.500 0.197 0.803
0.500 0.500 0.500
0.000 0.346 0.654
0.000 0.000 0.000
0.221 0.375 0.069
0.705 0.206 0.206
0.779 0.931 0.625
0.779 0.625 0.931
0.221 0.069 0.375
0.295 0.794 0.794



Entry 8:
As3PdAu | Alexandria | PBE | relaxed; D(E_F) = 3.95 states/eV/cell; ΔH_f (0 K) = 0.67 eV/atom; polymorph energy (0 for the lowest one) = 0.00 eV per formula unit
1.0
4.861 0.000 0.000
0.000 4.861 0.000
0.000 0.000 4.861
Pd Au As
1 1 3
Direct
0.000 0.000 0.000
0.500 0.500 0.500
0.000 0.000 0.500
0.500 0.000 0.000
0.000 0.500 0.000



Entry 9:
AsPdAu14 | Alexandria | PBE | relaxed; D(E_F) = 5.53 states/eV/cell; ΔH_f (0 K) = 0.03 eV/atom
1.0
-3.590 -1.144 4.620
5.183 -2.823 -0.845
4.514 6.739 5.178
Au Pd As
14 1 1
Direct
0.876 0.124 0.254
0.876 0.626 0.252
0.377 0.623 0.749
0.035 0.467 0.500
0.876 0.124 0.746
0.533 0.965 0.500
0.715 0.285 0.000
0.215 0.785 0.000
0.213 0.285 0.000
0.377 0.623 0.251
0.715 0.787 0.000
0.374 0.124 0.252
0.374 0.124 0.748
0.876 0.626 0.748
0.034 0.966 0.500
0.535 0.465 0.500



Entry 10:
As2Pd8Au | Alexandria | PBE | relaxed; D(E_F) = 5.45 states/eV/cell; ΔH_f (0 K) = -0.24 eV/atom
1.0
4.678 -0.266 -1.204
-1.244 5.188 -2.124
-0.006 0.206 7.326
Pd As Au
8 2 1
Direct
0.900 0.479 0.515
0.293 0.349 0.267
0.272 0.844 0.297
0.928 0.016 0.554
0.727 0.993 0.145
0.294 0.485 0.904
0.768 0.273 0.917
0.504 0.751 0.676
0.451 0.277 0.593
0.734 0.609 0.226
0.129 0.924 0.905